Record 1
Here is crystalline ThCo2B at its relaxed geometry from the Alexandria database. Energies are from GGA-PBE.

```
ThCo2B
1.0
6.067 0.000 0.000
0.000 3.771 0.000
0.000 0.000 9.968
Th Co B
4 8 4
Direct
0.157 0.250 0.128
0.343 0.750 0.628
0.657 0.250 0.372
0.843 0.750 0.872
0.114 0.250 0.440
0.167 0.250 0.807
0.333 0.750 0.307
0.386 0.750 0.940
0.614 0.250 0.060
0.667 0.250 0.693
0.833 0.750 0.193
0.886 0.750 0.560
0.019 0.750 0.371
0.481 0.250 0.871
0.519 0.750 0.129
0.981 0.250 0.629
```

Results
N(E_F) ... 3.3 states/eV/f.u.
Energy of formation ... -37 kJ/mol of atoms
Crystal system ... orthorhombic

=====

Record 2
Here is crystalline CeLuTlCu at its relaxed geometry from the Alexandria database. Energies are from GGA-PBE.

```
CeLuTlCu
1.0
0.000 3.679 3.679
3.679 0.000 3.679
3.679 3.679 0.000
Ce Lu Tl Cu
1 1 1 1
Direct
0.000 0.000 0.000
0.500 0.500 0.500
0.750 0.750 0.750
0.250 0.250 0.250
```

Results
N(E_F) ... 9.3 states/eV/f.u.
Energy of formation ... -12 kJ/mol of atoms
Crystal system ... cubic

=====

Record 3
Here is crystalline ThTcAg at its relaxed geometry from the Alexandria database. Energies are from GGA-PBE.

```
ThTcAg
1.0
5.111 -1.632 0.000
5.111 1.632 0.000
-2.504 0.000 7.734
Th Tc Ag
2 2 2
Direct
0.008 0.008 0.215
0.992 0.992 0.785
0.282 0.282 0.896
0.718 0.718 0.104
0.339 0.339 0.424
0.661 0.661 0.576
```

Results
N(E_F) ... 2.4 states/eV/f.u.
Offset from the most stable computed form ... 12.69 kJ per mole of atoms
Energy of formation ... 10 kJ/mol of atoms
Crystal system ... monoclinic

=====

Record 4
Here is crystalline AlGa2Cu at its relaxed geometry from the Alexandria database. Energies are from GGA-PBE.

```
AlGa2Cu
1.0
1.418 0.819 9.501
-1.418 0.819 9.501
0.000 -1.637 9.501
Al Ga Cu
1 2 1
Direct
0.000 0.000 0.000
0.094 0.094 0.094
0.906 0.906 0.906
0.500 0.500 0.500
```

Results
N(E_F) ... 0.9 states/eV/f.u.
Energy of formation ... 4 kJ/mol of atoms
Crystal system ... trigonal

=====

Record 5
Here is crystalline Ti2PtAu at its relaxed geometry from the Alexandria database. Energies are from GGA-PBE.

```
Ti2PtAu
1.0
-3.616 3.616 2.724
3.616 -3.616 2.724
3.616 3.616 -2.724
Ti Pt Au
4 2 2
Direct
0.104 0.125 0.479
0.375 0.896 0.021
0.646 0.625 0.521
0.875 0.354 0.979
0.000 0.000 0.000
0.750 0.250 0.500
0.250 0.750 0.500
0.500 0.500 0.000
```

Results
N(E_F) ... 7.2 states/eV/f.u.
Energy of formation ... -24 kJ/mol of atoms
Crystal system ... tetragonal

=====

Record 6
Here is crystalline CdBr2Cl at its relaxed geometry from the Alexandria database. Energies are from GGA-PBE.

```
CdBr2Cl
1.0
5.883 0.000 0.000
0.000 3.803 0.000
-1.191 0.000 6.269
Cd Br Cl
1 2 1
Direct
0.000 0.000 0.000
0.358 0.000 0.332
0.717 0.500 0.139
0.076 0.500 0.755
```

Results
E_form (uncorrected) ... -184 kJ/mol of formula units
N(E_F) ... 2.7 states/eV/f.u.
Offset from the most stable computed form ... 8.01 kJ per mole of atoms
Crystal system ... monoclinic